TaNi: optimized geometry, PBE-GGA.

Cell: 5.2661 5.2661 6.3259 Å, 106.38 106.38 31.67°
Sites, in units of the cell vectors:
Ta 0.0000 0.0000 0.0000
Ta 0.0607 0.0607 0.5860
Ta 0.3558 0.3558 0.2594
Ni 0.3348 0.3348 0.6665
Ni 0.6605 0.6605 0.3256
Ni 0.7162 0.7162 0.9206

Output
Calculated total energy, eV for the cell shown: -53.44
E_form, eV per atom: -0.089
DOS(E_F), states/eV/cell: 6.0
Total magnetization, Bohr magnetons per cell: 0.00

***

Ta2Ni13: optimized geometry, PBE-GGA.

Cell: 7.1655 7.1655 7.1655 Å, 52.10 52.10 52.10°
Sites, in units of the cell vectors:
Ta 0.1396 0.1396 0.1396
Ta 0.8604 0.8604 0.8604
Ni 0.0000 0.0000 0.0000
Ni 0.1208 0.1208 0.5085
Ni 0.1208 0.5085 0.1208
Ni 0.2540 0.2540 0.6307
Ni 0.2540 0.6307 0.2540
Ni 0.3693 0.7460 0.7460
Ni 0.4915 0.8792 0.8792
Ni 0.5085 0.1208 0.1208
Ni 0.6307 0.2540 0.2540
Ni 0.7460 0.3693 0.7460
Ni 0.7460 0.7460 0.3693
Ni 0.8792 0.4915 0.8792
Ni 0.8792 0.8792 0.4915

Output
Calculated total energy, eV for the cell shown: -93.33
E_form, eV per atom: 0.369
DOS(E_F), states/eV/cell: 19.1
Total magnetization, Bohr magnetons per cell: 0.00